Record 1
Pa8FeRh5: optimized geometry, PBE-GGA.

The structure in POSCAR format:
```
Pa8FeRh5
1.0
1.8080 2.4749 -6.6560
4.6882 -5.2711 1.9831
-6.8001 -2.7271 -0.1329
Rh Pa Fe
5 8 1
Direct
0.5000 0.0000 0.5000
0.9808 0.3497 0.1086
0.8914 0.8722 0.2411
0.3689 0.1278 0.0192
0.7589 0.6503 0.6311
0.1278 0.7333 0.4929
0.0159 0.1416 0.7429
0.5071 0.6349 0.2405
0.6055 0.3651 0.8722
0.7595 0.2667 0.3945
0.1256 0.7270 0.9841
0.2571 0.2730 0.3987
0.6013 0.8584 0.8744
0.2500 0.5000 0.7500
```

**Calculated formation energy**: -0.4909 eV/atom
**Symmetry**: I-4 (82)

Record 2
PaFeSi2Rh: optimized geometry, PBE-GGA.

The structure in POSCAR format:
```
PaFeSi2Rh
1.0
-2.7913 -0.9552 2.7290
2.8766 -0.5357 2.7548
-0.3948 5.4235 -1.4645
Rh Si Fe Pa
1 2 1 1
Direct
0.2500 0.7500 0.5000
0.6238 0.6238 0.2477
0.3762 0.3762 0.7523
0.7500 0.2500 0.5000
0.0000 0.0000 0.0000
```

**Energy relative to the elements, uncorrected**: -18.792 kcal/mol of atoms
**Symmetry**: I-4m2 (119)

Record 3
PaFeSi2Rh2: optimized geometry, PBE-GGA.

The structure in POSCAR format:
```
PaFeSi2Rh2
1.0
3.8204 0.0000 0.0000
0.0000 3.8204 0.0000
-1.9102 -1.9102 7.1614
Si Pa Rh Fe
2 1 2 1
Direct
0.8450 0.8450 0.6900
0.1550 0.1550 0.3100
0.5000 0.5000 0.0000
0.2500 0.7500 0.5000
0.7500 0.2500 0.5000
0.0000 0.0000 0.0000
```

**Energy relative to the elements, uncorrected**: -13.166 kcal/mol of atoms
**Symmetry**: I4/mmm (139)

Record 4
PaFeSnRh: optimized geometry, PBE-GGA.

The structure in POSCAR format:
```
PaFeSnRh
1.0
4.7160 0.0000 0.0000
2.3580 4.0842 0.0000
2.3580 1.3614 3.8506
Fe Pa Rh Sn
1 1 1 1
Direct
0.0000 0.0000 0.0000
0.7500 0.7500 0.7500
0.5000 0.5000 0.5000
0.2500 0.2500 0.2500
```

**Calculated formation energy**: -0.3347 eV/atom
**Symmetry**: F-43m (216)

Record 5
TmPaFeRh: optimized geometry, PBE-GGA.

The structure in POSCAR format:
```
TmPaFeRh
1.0
4.7793 0.0000 0.0000
2.3896 4.1390 0.0000
2.3896 1.3797 3.9023
Rh Pa Fe Tm
1 1 1 1
Direct
0.0000 0.0000 0.0000
0.7500 0.7500 0.7500
0.5000 0.5000 0.5000
0.2500 0.2500 0.2500
```

**Calculated formation energy**: -0.3258 eV/atom
**Symmetry**: F-43m (216)

Record 6
ZrPaFeRh: optimized geometry, PBE-GGA.

The structure in POSCAR format:
```
ZrPaFeRh
1.0
4.7121 0.0000 0.0000
2.3560 4.0808 0.0000
2.3560 1.3603 3.8474
Fe Rh Zr Pa
1 1 1 1
Direct
0.0000 0.0000 0.0000
0.5000 0.5000 0.5000
0.7500 0.7500 0.7500
0.2500 0.2500 0.2500
```

**Calculated formation energy**: -0.2883 eV/atom
**Symmetry**: F-43m (216)

Record 7
PaFeRu: optimized geometry, PBE-GGA.

The structure in POSCAR format:
```
PaFeRu
1.0
-3.5748 2.5092 0.0270
-0.8652 -1.1717 -5.6583
-0.3190 -4.2657 0.9321
Fe Ru Pa
2 2 2
Direct
0.6685 0.2500 0.8370
0.3315 0.7500 0.1630
0.0000 0.5000 0.5000
0.0000 0.0000 0.5000
0.6670 0.7500 0.8340
0.3330 0.2500 0.1660
```

**Calculated formation energy**: -0.3272 eV/atom
**Symmetry**: Cmcm (63)

Record 8
PaFeRu: optimized geometry, PBE-GGA.

The structure in POSCAR format:
```
PaFeRu
1.0
3.7172 0.0000 0.0000
0.0000 4.1248 0.0000
0.0000 -2.0624 3.5722
Pa Ru Fe
1 1 1
Direct
0.6665 0.3333 0.6667
0.1663 0.6667 0.3333
0.1672 0.0000 0.0000
```

**Calculated formation energy**: -0.0722 eV/atom
**Symmetry**: P-6m2 (187)